{
  "formula": "CaCe4Rh4",
  "functional": "PBE",
  "state": "relaxed",
  "e_form_ev_per_atom": -0.59,
  "space_group": "P4_2/n (86)",
  "volume_a3_per_cell": 453.3,
  "lattice_angstrom": [[5.6274, 0.0000, 0.0000], [0.0000, 8.9749, 0.0000], [0.0000, 0.0000, 8.9749]],
  "species": ["Rh", "Ce", "Rh", "Ce", "Ce", "Ce", "Ca", "Rh", "Ce", "Rh", "Rh", "Ce", "Rh", "Rh", "Ce", "Ce", "Ca", "Rh"],
  "frac_coords": [[0.4322, 0.6290, 0.8009], [0.0617, 0.1860, 0.5942], [0.0678, 0.1290, 0.3009], [0.4383, 0.3140, 0.9058], [0.5617, 0.0942, 0.3140], [0.9383, 0.4058, 0.1860], [0.5000, 0.5000, 0.5000], [0.9322, 0.3009, 0.8710], [0.9383, 0.5942, 0.8140], [0.4322, 0.3710, 0.1991], [0.9322, 0.6991, 0.1290], [0.5617, 0.9058, 0.6860], [0.5678, 0.1991, 0.6290], [0.0678, 0.8710, 0.6991], [0.0617, 0.8140, 0.4058], [0.4383, 0.6860, 0.0942], [0.0000, 0.0000, 0.0000], [0.5678, 0.8009, 0.3710]]
}